# Ba2TmPbO6 PBE optimized geometry
data_Ba2TmPbO6
_chemical_formula_sum 'Ba8 Tm4 Pb4 O24'
_space_group_name_H-M_alt 'F m -3 m'
_space_group_IT_number 225
_space_group_name_Hall '-F 4 2 3'
_cell_length_a 8.717
_cell_length_b 8.717
_cell_length_c 8.717
_cell_angle_alpha 90.00
_cell_angle_beta 90.00
_cell_angle_gamma 90.00
loop_
_atom_site_label
_atom_site_type_symbol
_atom_site_fract_x
_atom_site_fract_y
_atom_site_fract_z
Ba1 Ba 0.250 0.250 0.250
Tm1 Tm 0.000 0.000 0.000
Pb1 Pb 0.000 0.000 0.500
O1 O 0.000 0.000 0.251
# **Formation energy (no corrections)**: -22.5 eV per formula unit

# Ba2Tm3PbO8 PBE optimized geometry
data_Ba2Tm3PbO8
_chemical_formula_sum 'Ba6 Tm9 Pb3 O24'
_space_group_name_H-M_alt 'R 3 m'
_space_group_IT_number 160
_space_group_name_Hall 'R 3 -2"'
_cell_length_a 6.9111
_cell_length_b 6.9111
_cell_length_c 18.9608
_cell_angle_alpha 90.00
_cell_angle_beta 90.00
_cell_angle_gamma 120.00
loop_
_atom_site_label
_atom_site_type_symbol
_atom_site_fract_x
_atom_site_fract_y
_atom_site_fract_z
Ba1 Ba 0.0000 0.0000 0.0000
Ba2 Ba 0.0000 0.0000 0.3739
Tm1 Tm 0.0101 0.5051 0.8759
Pb1 Pb 0.0000 0.0000 0.7685
O1 O 0.0000 0.0000 0.1458
O2 O 0.0000 0.0000 0.5924
O3 O 0.0115 0.5057 0.1425
O4 O 0.1868 0.3736 0.9380
# **Formation energy (no corrections)**: -39.1 eV per formula unit

# BaUPb2O8 PBE optimized geometry
data_BaUPb2O8
_chemical_formula_sum 'Ba1 U1 Pb2 O8'
_space_group_name_H-M_alt 'P 1 2/m 1'
_space_group_IT_number 10
_cell_length_a 5.327
_cell_length_b 7.134
_cell_length_c 5.329
_cell_angle_alpha 90.00
_cell_angle_beta 92.25
_cell_angle_gamma 90.00
loop_
_space_group_symop_operation_xyz
'x,y,z'
'-x,-y,-z'
'-x,y,-z'
'x,-y,z'
loop_
_atom_site_label
_atom_site_type_symbol
_atom_site_fract_x
_atom_site_fract_y
_atom_site_fract_z
Ba1 Ba 0.000 0.000 0.000
U1 U 0.000 0.500 0.000
Pb1 Pb 0.500 0.255 0.500
O1 O 0.192 0.303 0.195
O2 O 0.308 0.500 0.695
O3 O 0.334 0.000 0.675
# **Formation energy (no corrections)**: -22.3 eV per formula unit

# Ba2UPbO6 PBE optimized geometry
data_Ba2UPbO6
_chemical_formula_sum 'Ba4 U2 Pb2 O12'
_space_group_name_H-M_alt 'C 1 2/m 1'
_space_group_IT_number 12
_cell_length_a 10.942
_cell_length_b 6.317
_cell_length_c 6.414
_cell_angle_alpha 90.00
_cell_angle_beta 124.84
_cell_angle_gamma 90.00
loop_
_space_group_symop_operation_xyz
'x,y,z'
'-x,-y,-z'
'-x,y,-z'
'x,-y,z'
'x+1/2,y+1/2,z'
'-x+1/2,-y+1/2,-z'
'-x+1/2,y+1/2,-z'
'x+1/2,-y+1/2,z'
loop_
_atom_site_label
_atom_site_type_symbol
_atom_site_fract_x
_atom_site_fract_y
_atom_site_fract_z
Ba1 Ba 0.249 0.000 0.233
U1 U 0.000 0.500 0.000
Pb1 Pb 0.000 0.000 0.500
O1 O 0.058 0.269 0.834
O2 O 0.221 0.500 0.320
# **Formation energy (no corrections)**: -27.0 eV per formula unit